*A*
ScSbW | GGA-PBE | relaxed

Unit cell a=3.571 b=5.063 c=13.371 alpha=90.00 beta=90.00 gamma=90.00
Space group Fmm2 (No. 42)
One atom of each set of equivalent atoms:
Sc 0.000 0.000 0.000 [4 per cell]
Sb 0.000 0.000 0.680 [4 per cell]
W 0.000 0.000 0.339 [4 per cell]


*B*
ScSbW | GGA-PBE | relaxed

Unit cell a=4.8320 b=4.8320 c=2.9596 alpha=90.00 beta=90.00 gamma=120.00
Space group P-6m2 (No. 187)
One atom of each set of equivalent atoms:
Sc 0.0000 0.0000 0.0000 [1 per cell]
Sb 0.3333 0.6667 0.5000 [1 per cell]
W 0.6667 0.3333 0.5000 [1 per cell]


Computed energies relative to the best structure, in kJ/mol of atoms: *A* 7.7; *B* 0.0


*A*
YScSb2 | GGA-PBE | relaxed

Unit cell a=3.724 b=3.997 c=7.239 alpha=90.00 beta=104.80 gamma=90.00
Space group P2/m (No. 10)
One atom of each set of equivalent atoms:
Y 0.000 0.000 0.000 [1 per cell]
Sc 0.000 0.000 0.500 [1 per cell]
Sb 0.481 0.500 0.738 [2 per cell]


*B*
YScSb2 | GGA-PBE | relaxed

Unit cell a=7.444 b=7.444 c=7.444 alpha=90.00 beta=90.00 gamma=90.00
Space group F-43m (No. 216)
One atom of each set of equivalent atoms:
Y 0.000 0.000 0.000 [4 per cell]
Sc 0.250 0.250 0.750 [4 per cell]
Sb 0.000 0.000 0.500 [4 per cell]
Sb 0.250 0.250 0.250 [4 per cell]


Computed energies relative to the best structure, in kJ/mol of atoms: *A* 0.0; *B* 52.2